A plane-wave DFT calculation with GGA-PBEsol was carried out for a relaxed MgH2Cl crystal.

Values from the calculation:
**Space group**: Fm-3m
**Final energy**: -2.298 eV per atom
**Mass density**: 2.32 g/cm3

Cell lengths 3.968, 3.968, 3.968 Å; angles 60.00, 60.00, 60.00 degrees
Positions (direct):
H 0.250 0.250 0.250
H 0.750 0.750 0.750
Mg 0.000 0.000 0.000
Cl 0.500 0.500 0.500

=====

A plane-wave DFT calculation with GGA-PBEsol was carried out for a relaxed Mg2MnH24Cl6O12 crystal.

Values from the calculation:
**Space group**: P31c
**Final energy**: -4.911 eV per atom
**Mass density**: 1.94 g/cm3

Cell lengths 9.736, 9.736, 11.101 Å; angles 90.00, 90.00, 120.00 degrees
Each line ends with the local moment (μB).
Positions (direct):
Mg 0.667 0.333 0.001  0.00
Mg 0.333 0.667 0.501  0.00
Mg 0.000 0.000 0.402  0.00
Mg 0.000 0.000 0.902  0.00
Mn 0.667 0.333 0.503  4.41
Mn 0.333 0.667 0.003  4.41
H 0.566 0.035 0.097  0.00
H 0.469 0.434 0.097  0.00
H 0.965 0.531 0.097  0.00
H 0.531 0.965 0.597  0.00
H 0.035 0.566 0.597  0.00
H 0.434 0.469 0.597  0.00
H 0.542 0.138 0.193  0.00
H 0.596 0.458 0.193  0.00
H 0.862 0.404 0.193  0.00
H 0.404 0.862 0.693  0.00
H 0.138 0.542 0.693  0.00
H 0.458 0.596 0.693  0.00
H 0.461 0.380 0.888  0.00
H 0.919 0.539 0.888  0.00
H 0.620 0.081 0.888  0.00
H 0.081 0.620 0.388  0.00
H 0.380 0.461 0.388  0.00
H 0.539 0.919 0.388  0.00
H 0.451 0.243 0.809  0.00
H 0.791 0.549 0.809  0.00
H 0.757 0.209 0.809  0.00
H 0.209 0.757 0.309  0.00
H 0.243 0.451 0.309  0.00
H 0.549 0.791 0.309  0.00
H 0.140 0.299 0.477  0.00
H 0.160 0.860 0.477  0.00
H 0.701 0.840 0.477  0.00
H 0.840 0.701 0.977  0.00
H 0.299 0.140 0.977  0.00
H 0.860 0.160 0.977  0.00
H 0.972 0.207 0.544  0.00
H 0.235 0.028 0.544  0.00
H 0.793 0.765 0.544  0.00
H 0.765 0.793 0.044  0.00
H 0.207 0.972 0.044  0.00
H 0.028 0.235 0.044  0.00
H 0.297 0.110 0.313  0.00
H 0.814 0.703 0.313  0.00
H 0.890 0.186 0.313  0.00
H 0.186 0.890 0.813  0.00
H 0.110 0.297 0.813  0.00
H 0.703 0.814 0.813  0.00
H 0.199 0.128 0.204  0.00
H 0.929 0.801 0.204  0.00
H 0.872 0.071 0.204  0.00
H 0.071 0.872 0.704  0.00
H 0.128 0.199 0.704  0.00
H 0.801 0.929 0.704  0.00
Cl 0.496 0.102 0.369  0.03
Cl 0.605 0.504 0.369  0.03
Cl 0.898 0.395 0.369  0.03
Cl 0.395 0.898 0.869  0.03
Cl 0.102 0.496 0.869  0.03
Cl 0.504 0.605 0.869  0.03
Cl 0.756 0.178 0.623  0.03
Cl 0.422 0.244 0.623  0.03
Cl 0.822 0.578 0.623  0.03
Cl 0.578 0.822 0.123  0.03
Cl 0.178 0.756 0.123  0.03
Cl 0.244 0.422 0.123  0.03
O 0.562 0.134 0.105  0.00
O 0.572 0.438 0.105  0.00
O 0.866 0.428 0.105  0.00
O 0.428 0.866 0.605  0.00
O 0.134 0.562 0.605  0.00
O 0.438 0.572 0.605  0.00
O 0.465 0.279 0.895  0.00
O 0.814 0.535 0.895  0.00
O 0.721 0.186 0.895  0.00
O 0.186 0.721 0.395  0.00
O 0.279 0.465 0.395  0.00
O 0.535 0.814 0.395  0.00
O 0.064 0.196 0.517  0.00
O 0.133 0.936 0.517  0.00
O 0.804 0.867 0.517  0.00
O 0.867 0.804 0.017  0.00
O 0.196 0.064 0.017  0.00
O 0.936 0.133 0.017  0.00
O 0.199 0.113 0.292  0.00
O 0.915 0.801 0.292  0.00
O 0.887 0.085 0.292  0.00
O 0.085 0.887 0.792  0.00
O 0.113 0.199 0.792  0.00
O 0.801 0.915 0.792  0.00

=====

Which value of final energy does entry 2 give? -4.911 eV per atom